1.
A geometry-optimized In2AgSe structure. Source: Alexandria via LeMat-Bulk, functional GGA-PBE. Values from VASP.

Quantum ESPRESSO input file:
```
&SYSTEM
  ibrav = 0, nat = 4, ntyp = 3
/
ATOMIC_SPECIES
In 114.82 In.upf
Ag 107.87 Ag.upf
Se 78.96 Se.upf
CELL_PARAMETERS angstrom
6.621 0.010 -0.017
4.093 5.204 0.017
-5.295 -2.734 2.885
ATOMIC_POSITIONS angstrom
In 10.117 4.923 0.000
In 5.954 2.898 0.000
Ag 2.078 2.538 1.451
Se 3.341 -0.059 1.434
```

Calculated values
calculated total energy	-0.11079	hartree per atom
space group	Immm, No. 71

---

2.
A geometry-optimized Te2IrSI structure. Source: Alexandria via LeMat-Bulk, functional GGA-PBE. Values from VASP.

Quantum ESPRESSO input file:
```
&SYSTEM
  ibrav = 0, nat = 5, ntyp = 4
/
ATOMIC_SPECIES
Ir 192.22 Ir.upf
Te 127.60 Te.upf
I 126.90 I.upf
S 32.06 S.upf
CELL_PARAMETERS angstrom
-4.382 2.090 1.743
-2.720 -3.459 -2.691
0.081 -3.318 4.182
ATOMIC_POSITIONS angstrom
Ir -3.510 -2.343 1.617
Te -2.191 1.045 0.871
Te -1.360 -1.729 -1.346
I 0.041 -1.659 2.091
S 0.000 0.000 0.000
```

Calculated values
calculated total energy	-0.10227	hartree per atom
E above lowest polymorph	627	meV/atom
space group	P4/mmm, No. 123

---

3.
A geometry-optimized LaYPu2 structure. Source: Alexandria via LeMat-Bulk, functional GGA-PBE. Values from VASP.

Quantum ESPRESSO input file:
```
&SYSTEM
  ibrav = 0, nat = 4, ntyp = 3
/
ATOMIC_SPECIES
Pu 244.00 Pu.upf
Y 88.91 Y.upf
La 138.91 La.upf
CELL_PARAMETERS angstrom
-2.945 1.384 -1.200
-1.516 -3.117 0.127
-2.978 1.833 9.425
ATOMIC_POSITIONS angstrom
Pu -0.750 0.462 2.375
Pu -2.227 1.371 7.050
Y -3.719 0.050 4.177
La -2.231 -0.866 -0.536
```

Calculated values
calculated total energy	-0.36028	hartree per atom
E above lowest polymorph	0	meV/atom
space group	P4/mmm, No. 123

---

4.
A geometry-optimized ReRu2Pb structure. Source: Alexandria via LeMat-Bulk, functional GGA-PBE. Values from VASP.

Quantum ESPRESSO input file:
```
&SYSTEM
  ibrav = 0, nat = 4, ntyp = 3
/
ATOMIC_SPECIES
Re 186.21 Re.upf
Ru 101.07 Ru.upf
Pb 207.20 Pb.upf
CELL_PARAMETERS angstrom
2.949 0.000 0.000
0.000 2.949 0.000
0.000 0.000 7.632
ATOMIC_POSITIONS angstrom
Re 1.475 1.475 5.972
Ru 0.000 0.000 7.594
Ru 1.475 1.475 1.763
Pb 0.000 0.000 3.752
```

Calculated values
calculated total energy	-0.29585	hartree per atom
space group	P4mm, No. 99

---

5.
A geometry-optimized P2HRhCl structure. Source: Alexandria via LeMat-Bulk, functional GGA-PBE. Values from VASP.

Quantum ESPRESSO input file:
```
&SYSTEM
  ibrav = 0, nat = 5, ntyp = 4
/
ATOMIC_SPECIES
H 1.01 H.upf
P 30.97 P.upf
Cl 35.45 Cl.upf
Rh 102.91 Rh.upf
CELL_PARAMETERS angstrom
4.493 0.000 0.000
0.000 4.493 0.000
0.000 0.000 5.312
ATOMIC_POSITIONS angstrom
H 2.247 2.247 2.656
P 2.247 0.000 0.000
P 0.000 2.247 0.000
Cl 0.000 0.000 2.656
Rh 0.000 0.000 0.000
```

Calculated values
calculated total energy	-0.14239	hartree per atom
E above lowest polymorph	105	meV/atom
space group	P4/mmm, No. 123

---

6.
A geometry-optimized KNp2US5 structure. Source: Alexandria via LeMat-Bulk, functional GGA-PBE. Values from VASP.

Quantum ESPRESSO input file:
```
&SYSTEM
  ibrav = 0, nat = 9, ntyp = 4
/
ATOMIC_SPECIES
S 32.06 S.upf
Np 237.00 Np.upf
K 39.10 K.upf
U 238.03 U.upf
CELL_PARAMETERS angstrom
4.995 0.000 0.000
0.000 6.995 0.000
-2.498 -3.497 6.878
ATOMIC_POSITIONS angstrom
S 0.000 1.835 4.775
S 0.000 -1.835 4.775
S 0.000 0.000 0.000
S 2.498 1.663 2.104
S 2.498 5.332 2.104
Np 2.498 3.497 4.084
Np 0.000 0.000 2.795
K 0.000 3.497 0.000
U 2.498 0.000 0.000
```

Calculated values
calculated total energy	-0.28745	hartree per atom
space group	Immm, No. 71

---

7.
A geometry-optimized PmPrDy structure. Source: Alexandria via LeMat-Bulk, functional GGA-PBE. Values from VASP.

Quantum ESPRESSO input file:
```
&SYSTEM
  ibrav = 0, nat = 3, ntyp = 3
/
ATOMIC_SPECIES
Pr 140.91 Pr.upf
Dy 162.50 Dy.upf
Pm 145.00 Pm.upf
CELL_PARAMETERS angstrom
3.539 0.000 0.000
0.000 5.759 0.000
0.000 -2.880 4.987
ATOMIC_POSITIONS angstrom
Pr 2.359 2.880 1.662
Dy 0.591 0.000 3.325
Pm 0.589 0.000 0.000
```

Calculated values
calculated total energy	-0.17082	hartree per atom
E above lowest polymorph	49	meV/atom
space group	P-6m2, No. 187

---

8.
A geometry-optimized Te2MoIrI structure. Source: Alexandria via LeMat-Bulk, functional GGA-PBE. Values from VASP.

Quantum ESPRESSO input file:
```
&SYSTEM
  ibrav = 0, nat = 5, ntyp = 4
/
ATOMIC_SPECIES
I 126.90 I.upf
Te 127.60 Te.upf
Mo 95.94 Mo.upf
Ir 192.22 Ir.upf
CELL_PARAMETERS angstrom
-4.425 -2.614 -0.640
1.414 -1.209 -4.833
2.420 -4.548 1.846
ATOMIC_POSITIONS angstrom
I 1.210 -2.274 0.923
Te 0.707 -0.605 -2.417
Te -2.212 -1.307 -0.320
Mo 0.000 0.000 0.000
Ir -0.295 -4.186 -1.814
```

Calculated values
calculated total energy	-0.15259	hartree per atom
E above lowest polymorph	238	meV/atom
space group	P4/mmm, No. 123

---

9.
A geometry-optimized RbH2Pb structure. Source: Alexandria via LeMat-Bulk, functional GGA-PBE. Values from VASP.

Quantum ESPRESSO input file:
```
&SYSTEM
  ibrav = 0, nat = 16, ntyp = 3
/
ATOMIC_SPECIES
H 1.01 H.upf
Rb 85.47 Rb.upf
Pb 207.20 Pb.upf
CELL_PARAMETERS angstrom
-3.987 3.140 -7.523
-3.247 -3.602 0.217
-2.524 3.035 12.601
ATOMIC_POSITIONS angstrom
H -7.521 3.851 5.692
H -4.942 4.449 -0.090
H -1.619 1.279 -2.987
H -5.303 1.130 -6.281
H -3.730 3.059 -5.022
H -4.504 0.995 3.422
H -6.615 2.775 1.387
H -4.636 4.135 -0.717
Rb -0.677 0.594 -0.263
Rb -3.562 0.311 6.145
Rb -3.942 3.704 2.508
Rb -4.303 0.385 -3.684
Pb -3.082 3.283 8.377
Pb -0.836 0.974 3.661
Pb -3.721 0.691 10.070
Pb -3.443 -0.036 2.185
```

Calculated values
calculated total energy	-0.10713	hartree per atom
E above lowest polymorph	16	meV/atom
space group	Cm, No. 8

---

10.
A geometry-optimized CoSbTe2 structure. Source: Alexandria via LeMat-Bulk, functional GGA-PBE. Values from VASP.

Quantum ESPRESSO input file:
```
&SYSTEM
  ibrav = 0, nat = 4, ntyp = 3
/
ATOMIC_SPECIES
Te 127.60 Te.upf
Co 58.93 Co.upf
Sb 121.76 Sb.upf
CELL_PARAMETERS angstrom
-2.879 -1.059 0.556
0.444 -2.293 -2.065
3.786 -6.229 7.731
ATOMIC_POSITIONS angstrom
Te 0.115 -3.868 1.966
Te 0.005 -0.008 0.010
Co 1.855 -3.053 3.789
Sb 1.269 -5.767 4.323
```

Calculated values
calculated total energy	-0.15681	hartree per atom
space group	P4mm, No. 99

---

11.
A geometry-optimized Mn3CrBi structure. Source: Alexandria via LeMat-Bulk, functional GGA-PBE. Values from VASP.

Quantum ESPRESSO input file:
```
&SYSTEM
  ibrav = 0, nat = 5, ntyp = 3
/
ATOMIC_SPECIES
Mn 54.94 Mn.upf
Cr 52.00 Cr.upf
Bi 208.98 Bi.upf
CELL_PARAMETERS angstrom
4.515 0.000 0.000
0.000 4.515 0.000
0.000 0.000 4.515
ATOMIC_POSITIONS angstrom
Mn 0.000 2.258 0.000
Mn 0.000 0.000 2.258
Mn 2.258 0.000 0.000
Cr 0.000 0.000 0.000
Bi 2.258 2.258 2.258
```

Calculated values
calculated total energy	-0.27270	hartree per atom
E above lowest polymorph	0	meV/atom
space group	Pm-3m, No. 221

---

12.
A geometry-optimized CsZn2In2Cl7 structure. Source: Alexandria via LeMat-Bulk, functional GGA-PBE. Values from VASP.

Quantum ESPRESSO input file:
```
&SYSTEM
  ibrav = 0, nat = 12, ntyp = 4
/
ATOMIC_SPECIES
Zn 65.41 Zn.upf
Cs 132.91 Cs.upf
Cl 35.45 Cl.upf
In 114.82 In.upf
CELL_PARAMETERS angstrom
7.048 0.000 0.000
3.524 6.103 0.000
3.524 2.034 10.566
ATOMIC_POSITIONS angstrom
Zn 10.571 6.103 2.372
Zn 3.524 2.034 8.194
Cs 7.048 4.069 5.283
Cl 5.689 6.436 7.555
Cl 5.677 1.709 7.555
Cl 9.776 4.061 7.555
Cl 0.000 0.000 0.000
Cl 9.776 4.076 3.011
Cl 5.689 1.702 3.011
Cl 5.677 6.429 3.011
In 10.571 6.103 9.440
In 3.524 2.034 1.126
```

Calculated values
calculated total energy	-0.11074	hartree per atom
space group	R32, No. 155